# 1
! NaAlZn2Si, relaxed, DFT PBE; values from VASP
&SYSTEM
  ibrav = 0, nat = 5, ntyp = 4
/
ATOMIC_SPECIES
Na 22.99 Na.upf
Al 26.98 Al.upf
Zn 65.41 Zn.upf
Si 28.09 Si.upf
CELL_PARAMETERS angstrom
4.919 0.000 0.000
0.000 4.919 0.000
0.000 0.000 4.911
ATOMIC_POSITIONS angstrom
Na 0.000 0.000 0.000
Al 2.459 2.459 2.456
Zn 0.000 2.459 2.456
Zn 2.459 0.000 2.456
Si 2.459 2.459 0.000
! Raw formation energy, eV/atom: 0.407
! Electronic total energy, eV per atom: -2.199

***

# 2
! NaAl2ZnSi, relaxed, DFT PBE; values from VASP
&SYSTEM
  ibrav = 0, nat = 5, ntyp = 4
/
ATOMIC_SPECIES
Na 22.99 Na.upf
Al 26.98 Al.upf
Zn 65.41 Zn.upf
Si 28.09 Si.upf
CELL_PARAMETERS angstrom
5.057 0.000 0.000
0.000 5.057 0.000
0.000 0.000 4.689
ATOMIC_POSITIONS angstrom
Na 0.000 0.000 0.000
Al 0.000 2.529 2.344
Al 2.529 0.000 2.344
Zn 2.529 2.529 0.000
Si 2.529 2.529 2.344
! Raw formation energy, eV/atom: 0.425
! Electronic total energy, eV per atom: -2.675